# ErMg2MoO6, relaxed, DFT PBE with a Hubbard U
# Calculated total energy (eV/atom): -7.011
# Crystal system: triclinic
# N(E_F) (states/eV/cell): 0.0
data_ErMg2MoO6
_chemical_formula_sum 'Er1 Mg2 Mo1 O6'
_symmetry_space_group_name_H-M 'P 1'
_symmetry_Int_Tables_number 1
_cell_length_a 5.303
_cell_length_b 5.336
_cell_length_c 5.689
_cell_angle_alpha 62.13
_cell_angle_beta 62.97
_cell_angle_gamma 60.80
loop_
_symmetry_equiv_pos_as_xyz
'x,y,z'
loop_
_atom_site_label
_atom_site_fract_x
_atom_site_fract_y
_atom_site_fract_z
Er1 0.000 0.000 0.000
Mg1 0.212 0.206 0.359
Mg2 0.710 0.723 0.851
Mo1 0.504 0.518 0.467
O1 0.117 0.792 0.659
O2 0.321 0.586 0.188
O3 0.404 0.131 0.666
O4 0.579 0.906 0.178
O5 0.762 0.426 0.666
O6 0.894 0.327 0.183